Run a
Below is Ba3Ga2As4 after structural relaxation, with properties calculated at the PBE level.

a b c (Å): 8.178 9.096 9.277
angles (deg): 119.36 90.31 90.00
Sites, in units of the cell vectors:
As: 0.823 0.647 0.437
Ba: 0.750 0.525 0.000
As: 0.177 0.353 0.563
Ba: 0.384 0.028 0.260
Ba: 0.250 0.475 0.000
As: 0.987 0.166 0.883
Ba: 0.616 0.972 0.740
Ga: 0.024 0.783 0.345
As: 0.323 0.790 0.437
Ga: 0.976 0.217 0.655
Ba: 0.116 0.768 0.740
Ba: 0.884 0.232 0.260
As: 0.513 0.283 0.117
As: 0.013 0.834 0.117
Ga: 0.524 0.563 0.345
As: 0.487 0.717 0.883
As: 0.677 0.210 0.563
Ga: 0.476 0.437 0.655

Values from the calculation:
The value obtained for the calculated volume is 33.4 A^3/atom.


Run b
Below is Ba3Ga2As4 after structural relaxation, with properties calculated at the PBE level.

a b c (Å): 4.403 7.817 9.896
angles (deg): 121.56 90.00 106.36
Sites, in units of the cell vectors:
Ba: 0.000 0.000 0.000
Ba: 0.370 0.741 0.269
As: 0.114 0.228 0.412
As: 0.684 0.369 0.096
Ga: 0.312 0.624 0.653
Ga: 0.688 0.376 0.347
As: 0.316 0.631 0.904
Ba: 0.630 0.259 0.731
As: 0.886 0.772 0.588

Values from the calculation:
The value obtained for the calculated volume is 30.4 A^3/atom.


Which one sits at the bottom of the stability order? run a does.


Run a
Below is Ba2GaAs after structural relaxation, with properties calculated at the PBE level.

a b c (Å): 8.986 8.986 7.447
angles (deg): 52.89 52.89 90.00
Sites, in units of the cell vectors:
Ba: 0.653 0.125 0.250
Ga: 0.250 0.750 0.500
As: 0.750 0.250 0.500
Ba: 0.875 0.903 0.750
As: 0.000 0.000 0.000
Ga: 0.500 0.500 0.000
Ba: 0.097 0.625 0.250
Ba: 0.375 0.347 0.750

Values from the calculation:
The value obtained for the calculated volume is 39.2 A^3/atom.


Run b
Below is Ba2GaAs after structural relaxation, with properties calculated at the PBE level.

a b c (Å): 5.739 5.739 5.739
angles (deg): 60.00 60.00 60.00
Sites, in units of the cell vectors:
Ga: 0.000 0.000 0.000
As: 0.500 0.500 0.500
Ba: 0.750 0.750 0.750
Ba: 0.250 0.250 0.250

Values from the calculation:
The value obtained for the calculated volume is 33.4 A^3/atom.


Which one sits at the bottom of the stability order? run a does.


Run a
Below is BaGaAsSe2 after structural relaxation, with properties calculated at the PBE level.

a b c (Å): 6.150 6.150 6.246
angles (deg): 90.00 90.00 90.00
Each line ends with the local moment (μB).
Sites, in units of the cell vectors:
Ga: 0.500 0.500 0.500  0.00
As: 0.000 0.000 0.500  0.81
Se: 0.000 0.500 0.000  0.41
Se: 0.500 0.000 0.000  0.41
Ba: 0.000 0.000 0.000  0.03

Values from the calculation:
The value obtained for the calculated volume is 47.3 A^3/atom.


Run b
Below is BaGaAsSe2 after structural relaxation, with properties calculated at the PBE level.

a b c (Å): 5.311 5.311 4.857
angles (deg): 90.00 90.00 90.00
Sites, in units of the cell vectors:
As: 0.000 0.000 0.500
Ba: 0.500 0.500 0.500
Ga: 0.000 0.000 0.000
Se: 0.500 0.000 0.000
Se: 0.000 0.500 0.000

Values from the calculation:
The value obtained for the calculated volume is 27.4 A^3/atom.


Which one sits at the bottom of the stability order? run a does.


Run a
Below is Ba3GeAs after structural relaxation, with properties calculated at the PBE level.

a b c (Å): 6.253 6.253 6.253
angles (deg): 90.00 90.00 90.00
Each line ends with the local moment (μB).
Sites, in units of the cell vectors:
Ge: 0.500 0.500 0.500  0.24
Ba: 0.000 0.000 0.500  0.01
Ba: 0.000 0.500 0.000  0.02
Ba: 0.500 0.000 0.000  0.02
As: 0.000 0.000 0.000  0.00

Values from the calculation:
The value obtained for the calculated volume is 48.9 A^3/atom.


Run b
Below is Ba3GeAs after structural relaxation, with properties calculated at the PBE level.

a b c (Å): 4.746 10.513 9.289
angles (deg): 92.66 90.02 116.75
Sites, in units of the cell vectors:
Ba: 0.143 0.949 0.063
Ge: 0.205 0.509 0.657
Ba: 0.900 0.204 0.358
Ge: 0.840 0.646 0.765
Ba: 0.243 0.548 0.029
Ba: 0.488 0.292 0.795
As: 0.513 0.318 0.156
Ba: 0.556 0.863 0.627
Ba: 0.800 0.605 0.393
As: 0.531 0.836 0.265

Values from the calculation:
The value obtained for the calculated volume is 41.3 A^3/atom.


Which one sits at the bottom of the stability order? run a does.


Run a
Below is BaGe3As after structural relaxation, with properties calculated at the PBE level.

a b c (Å): 5.193 5.193 5.193
angles (deg): 90.00 90.00 90.00
Sites, in units of the cell vectors:
As: 0.000 0.000 0.000
Ge: 0.000 0.000 0.500
Ge: 0.000 0.500 0.000
Ge: 0.500 0.000 0.000
Ba: 0.500 0.500 0.500

Values from the calculation:
The value obtained for the calculated volume is 28.0 A^3/atom.


Run b
Below is BaGe3As after structural relaxation, with properties calculated at the PBE level.

a b c (Å): 5.749 5.749 5.749
angles (deg): 90.00 90.00 90.00
Sites, in units of the cell vectors:
Ge: 0.000 0.000 0.500
As: 0.500 0.500 0.500
Ba: 0.000 0.000 0.000
Ge: 0.000 0.500 0.000
Ge: 0.500 0.000 0.000

Values from the calculation:
The value obtained for the calculated volume is 38.0 A^3/atom.


Which one sits at the bottom of the stability order? run b does.


Run a
Below is BaGeAs2O8 after structural relaxation, with properties calculated at the PBE level.

a b c (Å): 4.936 4.936 8.770
angles (deg): 73.66 73.66 60.00
Sites, in units of the cell vectors:
O: 0.529 0.262 0.347
O: 0.471 0.139 0.653
As: 0.763 0.763 0.710
O: 0.861 0.529 0.347
Ge: 0.500 0.500 0.500
As: 0.237 0.237 0.290
O: 0.738 0.471 0.653
O: 0.695 0.695 0.915
O: 0.305 0.305 0.085
O: 0.139 0.738 0.653
O: 0.262 0.861 0.347
Ba: 0.000 0.000 0.000

Values from the calculation:
The value obtained for the calculated volume is 14.6 A^3/atom.


Run b
Below is BaGeAs2O8 after structural relaxation, with properties calculated at the PBE level.

a b c (Å): 4.946 4.946 7.944
angles (deg): 86.40 86.40 66.19
Sites, in units of the cell vectors:
As: 0.368 0.368 0.806
O: 0.234 0.751 0.821
O: 0.227 0.227 0.975
O: 0.313 0.313 0.605
O: 0.687 0.687 0.395
Ge: 0.000 0.000 0.000
O: 0.751 0.234 0.821
O: 0.249 0.766 0.179
O: 0.773 0.773 0.025
As: 0.632 0.632 0.194
Ba: 0.000 0.000 0.500
O: 0.766 0.249 0.179

Values from the calculation:
The value obtained for the calculated volume is 14.8 A^3/atom.


Which one sits at the bottom of the stability order? run a does.


Run a
Below is BaTlGeAs after structural relaxation, with properties calculated at the PBE level.

a b c (Å): 4.821 4.121 6.298
angles (deg): 90.00 101.21 90.00
Sites, in units of the cell vectors:
As: 0.023 0.500 0.443
Ge: 0.208 0.000 0.697
Tl: 0.754 0.500 0.826
Ba: 0.491 0.000 0.249

Values from the calculation:
The value obtained for the calculated volume is 30.7 A^3/atom.


Run b
Below is BaTlGeAs after structural relaxation, with properties calculated at the PBE level.

a b c (Å): 4.105 5.116 6.490
angles (deg): 110.15 108.47 90.00
Sites, in units of the cell vectors:
Ge: 0.724 0.076 0.644
Tl: 0.548 0.351 0.294
As: 0.088 0.863 0.373
Ba: 0.330 0.663 0.856

Values from the calculation:
The value obtained for the calculated volume is 30.1 A^3/atom.


Run c
Below is BaTlGeAs after structural relaxation, with properties calculated at the PBE level.

a b c (Å): 6.394 4.060 10.918
angles (deg): 90.00 115.11 90.00
Sites, in units of the cell vectors:
Ge: 0.107 0.500 0.496
Tl: 0.289 0.500 0.266
Ba: 0.709 0.000 0.176
As: 0.848 0.000 0.490
Ba: 0.709 0.500 0.676
Ge: 0.107 0.000 0.996
Tl: 0.289 0.000 0.766
As: 0.848 0.500 0.990

Values from the calculation:
The value obtained for the calculated volume is 32.1 A^3/atom.


Which one sits at the bottom of the stability order? run c does.


Run a
Below is BaTlGeAs after structural relaxation, with properties calculated at the PBE level.

a b c (Å): 4.108 4.919 6.509
angles (deg): 108.60 99.60 90.90
Sites, in units of the cell vectors:
Tl: 0.563 0.679 0.835
Ge: 0.148 0.116 0.695
As: 0.574 0.906 0.434
Ba: 0.025 0.346 0.251

Values from the calculation:
The value obtained for the calculated volume is 30.6 A^3/atom.


Run b
Below is BaTlGeAs after structural relaxation, with properties calculated at the PBE level.

a b c (Å): 4.450 4.993 11.987
angles (deg): 90.00 106.37 90.00
Sites, in units of the cell vectors:
Ge: 0.454 0.500 0.226
Ba: 0.992 0.000 0.388
As: 0.520 0.000 0.938
Tl: 0.179 0.000 0.117
Ge: 0.454 0.000 0.726
Tl: 0.179 0.500 0.617
Ba: 0.992 0.500 0.888
As: 0.520 0.500 0.438

Values from the calculation:
The value obtained for the calculated volume is 31.9 A^3/atom.


Which one sits at the bottom of the stability order? run b does.


Run a
Below is BaAsH3 after structural relaxation, with properties calculated at the PBE level.

a b c (Å): 4.157 4.157 4.157
angles (deg): 90.00 90.00 90.00
Sites, in units of the cell vectors:
Ba: 0.500 0.500 0.500
H: 0.000 0.000 0.500
As: 0.000 0.000 0.000
H: 0.000 0.500 0.000
H: 0.500 0.000 0.000

Values from the calculation:
The value obtained for the calculated volume is 14.4 A^3/atom.


Run b
Below is BaAsH3 after structural relaxation, with properties calculated at the PBE level.

a b c (Å): 4.626 4.626 4.626
angles (deg): 90.00 90.00 90.00
Sites, in units of the cell vectors:
H: 0.000 0.000 0.500
H: 0.000 0.500 0.000
As: 0.500 0.500 0.500
H: 0.500 0.000 0.000
Ba: 0.000 0.000 0.000

Values from the calculation:
The value obtained for the calculated volume is 19.8 A^3/atom.


Which one sits at the bottom of the stability order? run b does.


Run a
Below is Ba2LiAsH after structural relaxation, with properties calculated at the PBE level.

a b c (Å): 5.421 5.421 4.423
angles (deg): 90.00 90.00 90.00
Sites, in units of the cell vectors:
As: 0.500 0.500 0.500
Ba: 0.000 0.500 0.000
H: 0.000 0.000 0.000
Ba: 0.500 0.000 0.000
Li: 0.000 0.000 0.500

Values from the calculation:
The value obtained for the calculated volume is 26.0 A^3/atom.


Run b
Below is Ba2LiAsH after structural relaxation, with properties calculated at the PBE level.

a b c (Å): 4.491 6.964 9.034
angles (deg): 108.63 90.00 90.00
Each line ends with the local moment (μB).
Sites, in units of the cell vectors:
Ba: 0.250 0.231 0.958  0.17
H: 0.750 0.182 0.183  -0.01
Ba: 0.750 0.812 0.600  0.09
Ba: 0.250 0.188 0.400  0.09
As: 0.250 0.654 0.299  -0.02
H: 0.250 0.818 0.817  -0.01
As: 0.750 0.346 0.701  -0.02
Li: 0.750 0.464 0.257  0.02
Li: 0.250 0.536 0.743  0.02
Ba: 0.750 0.769 0.042  0.17

Values from the calculation:
The value obtained for the calculated volume is 26.8 A^3/atom.


Which one sits at the bottom of the stability order? run a does.


Run a
Below is BaNa2AsH after structural relaxation, with properties calculated at the PBE level.

a b c (Å): 4.773 4.773 5.396
angles (deg): 90.00 90.00 90.00
Sites, in units of the cell vectors:
Ba: 0.000 0.000 0.500
As: 0.500 0.500 0.500
H: 0.000 0.000 0.000
Na: 0.500 0.000 0.000
Na: 0.000 0.500 0.000

Values from the calculation:
The value obtained for the calculated volume is 24.6 A^3/atom.


Run b
Below is BaNa2AsH after structural relaxation, with properties calculated at the PBE level.

a b c (Å): 4.602 6.539 8.889
angles (deg): 90.00 90.00 110.60
Sites, in units of the cell vectors:
H: 0.000 0.000 0.500
Na: 0.828 0.657 0.064
As: 0.265 0.530 0.250
H: 0.000 0.000 0.000
Ba: 0.556 0.111 0.250
As: 0.735 0.470 0.750
Na: 0.172 0.343 0.936
Na: 0.172 0.343 0.564
Na: 0.828 0.657 0.436
Ba: 0.444 0.889 0.750

Values from the calculation:
The value obtained for the calculated volume is 25.0 A^3/atom.


Which one sits at the bottom of the stability order? run a does.


Run a
Below is BaAs2HSe after structural relaxation, with properties calculated at the PBE level.

a b c (Å): 6.756 6.756 6.236
angles (deg): 90.00 90.00 90.00
Each line ends with the local moment (μB).
Sites, in units of the cell vectors:
Se: 0.000 0.000 0.500  -0.33
Ba: 0.000 0.000 0.000  0.04
H: 0.500 0.500 0.500  0.38
As: 0.000 0.500 0.000  0.97
As: 0.500 0.000 0.000  0.97

Values from the calculation:
The value obtained for the calculated volume is 56.9 A^3/atom.


Run b
Below is BaAs2HSe after structural relaxation, with properties calculated at the PBE level.

a b c (Å): 4.375 4.375 5.879
angles (deg): 90.00 90.00 90.00
Sites, in units of the cell vectors:
Ba: 0.500 0.500 0.500
As: 0.000 0.500 0.000
Se: 0.000 0.000 0.500
As: 0.500 0.000 0.000
H: 0.000 0.000 0.000

Values from the calculation:
The value obtained for the calculated volume is 22.5 A^3/atom.


Which one sits at the bottom of the stability order? run a does.